Version i
A geometry-optimized FeHgIr structure. Source: Alexandria via LeMat-Bulk, functional PBE.

Lattice parameters (Å, degrees): 2.848 2.848 6.803 90.00 90.00 120.00
Fractional coordinates of all 3 atoms:
Fe: 0.000 0.000 0.000
Hg: 0.667 0.333 0.342
Ir: 0.333 0.667 0.709

As for the density of states at the Fermi level: 3.5 states/eV/f.u. For the total magnetic moment, the calculation gives 3.000 μB per formula unit. As for the space group: P3m1 (156).

---

Version ii
A geometry-optimized FeHgIr structure. Source: Alexandria via LeMat-Bulk, functional PBE.

Lattice parameters (Å, degrees): 4.240 4.240 4.240 60.00 60.00 60.00
Fractional coordinates of all 3 atoms:
Fe: 0.000 0.000 0.000
Hg: 0.250 0.250 0.250
Ir: 0.750 0.750 0.750

As for the density of states at the Fermi level: 3.3 states/eV/f.u. For the total magnetic moment, the calculation gives 3.612 μB per formula unit. As for the space group: F-43m (216).

---

It is version ii that is the least stable of them.

---

Version i
A geometry-optimized FeHgIr structure. Source: Alexandria via LeMat-Bulk, functional PBE.

Lattice parameters (Å, degrees): 7.393 7.143 2.805 83.95 73.88 22.17
Fractional coordinates of all 3 atoms:
Fe: 0.000 0.000 0.000
Hg: 0.672 0.672 0.328
Ir: 0.355 0.355 0.645

As for the density of states at the Fermi level: 3.2 states/eV/f.u. For the total magnetic moment, the calculation gives 3.154 μB per formula unit. As for the space group: Fmm2 (42).

---

Version ii
A geometry-optimized FeHgIr structure. Source: Alexandria via LeMat-Bulk, functional PBE.

Lattice parameters (Å, degrees): 5.946 5.946 5.946 151.40 151.40 40.89
Fractional coordinates of all 3 atoms:
Fe: 0.000 0.000 0.000
Hg: 0.679 0.679 0.000
Ir: 0.370 0.370 0.000

As for the density of states at the Fermi level: 2.8 states/eV/f.u. For the total magnetic moment, the calculation gives 3.205 μB per formula unit. As for the space group: I4mm (107).

---

It is version i that is the least stable of them.